DFT (GGA-PBE) results for crystalline KDyAsO4 at its relaxed geometry.

Results
The calculated volume comes out at 15.21 Å³/atom. The total magnetization comes out at 0.00 μB per formula unit. The calculation puts the raw formation energy at -1.904 eV/atom.

Geometry as POSCAR:
```
KDyAsO4
1.0
-3.2371 3.4785 4.7279
3.2371 -3.4785 4.7279
3.2371 3.4785 -4.7279
K Dy As O
2 2 2 8
Direct
0.5000 0.0000 0.0000
0.5000 0.5000 0.5000
0.0000 0.0000 0.0000
0.5000 0.0000 0.5000
0.1120 0.3620 0.7500
0.8880 0.6380 0.2500
0.2027 0.2489 0.9537
0.2048 0.7511 0.4537
0.2306 0.2144 0.4837
0.2306 0.7469 0.0163
0.7694 0.2531 0.9837
0.7694 0.7856 0.5163
0.7952 0.2489 0.5463
0.7973 0.7511 0.0463
```